# 1
Density functional theory data (PBE-GGA) for a relaxed structure of La5Tb2Pr.

Values from the calculation:
Energy above the lowest structure with this stoichiometry   82 meV/atom
DFT formation energy   0.1097 eV/atom
Raw total energy   -75.60 eV for the cell shown

Lattice parameters (Å, degrees): 5.691 6.711 16.796 90.00 90.00 115.09
Atoms (fractional coordinates):
La 0.067 0.135 0.404
La 0.067 0.135 0.096
La 0.933 0.865 0.596
La 0.625 0.250 0.547
La 0.468 0.936 0.750
La 0.933 0.865 0.904
La 0.532 0.064 0.250
La 0.625 0.250 0.953
La 0.375 0.750 0.047
La 0.375 0.750 0.453
Tb 0.228 0.457 0.864
Tb 0.772 0.543 0.136
Tb 0.228 0.457 0.636
Tb 0.772 0.543 0.364
Pr 0.257 0.514 0.250
Pr 0.743 0.486 0.750

***

# 2
Density functional theory data (PBE-GGA) for a relaxed structure of La3TbPr8.

Values from the calculation:
DFT formation energy   0.2471 eV/atom
Raw total energy   -54.68 eV for the cell shown

Lattice parameters (Å, degrees): 9.199 9.199 9.199 76.08 137.74 120.03
Atoms (fractional coordinates):
Pr 0.007 0.640 0.945
Pr 0.466 0.736 0.541
Pr 0.695 0.062 0.055
Pr 0.534 0.075 0.270
Pr 0.195 0.925 0.459
Pr 0.993 0.938 0.633
Pr 0.305 0.360 0.367
Pr 0.805 0.264 0.730
La 0.500 0.618 0.118
La 0.000 0.500 0.500
La 0.500 0.382 0.882
Tb 0.000 0.000 0.000

***

# 3
Density functional theory data (PBE-GGA) for a relaxed structure of LaTbPr4.

Values from the calculation:
Energy above the lowest structure with this stoichiometry   140 meV/atom
DFT formation energy   0.2394 eV/atom
Raw total energy   -27.24 eV for the cell shown

Lattice parameters (Å, degrees): 6.772 6.772 6.772 60.00 60.00 60.00
Atoms (fractional coordinates):
La 0.250 0.250 0.250
Pr 0.122 0.626 0.626
Pr 0.626 0.626 0.626
Pr 0.626 0.122 0.626
Pr 0.626 0.626 0.122
Tb 0.000 0.000 0.000

***

# 4
Density functional theory data (PBE-GGA) for a relaxed structure of La6Tb3Pr.

Values from the calculation:
Energy above the lowest structure with this stoichiometry   0 meV/atom
DFT formation energy   0.1178 eV/atom
Raw total energy   -94.11 eV for the cell shown

Lattice parameters (Å, degrees): 6.519 11.283 11.283 122.08 90.00 90.00
Atoms (fractional coordinates):
La 0.867 0.932 0.513
La 0.867 0.487 0.068
La 0.552 0.287 0.367
La 0.666 0.287 0.713
La 0.052 0.367 0.287
La 0.365 0.970 0.030
La 0.367 0.068 0.487
La 0.865 0.030 0.970
La 0.166 0.713 0.287
La 0.052 0.713 0.633
La 0.552 0.633 0.713
La 0.367 0.513 0.932
Tb 0.969 0.054 0.291
Tb 0.969 0.709 0.946
Tb 0.469 0.946 0.709
Tb 0.469 0.291 0.054
Tb 0.594 0.615 0.385
Tb 0.094 0.385 0.615
Pr 0.583 0.817 0.183
Pr 0.083 0.183 0.817

***

# 5
Density functional theory data (PBE-GGA) for a relaxed structure of La15Tb2Pr2.

Values from the calculation:
DFT formation energy   0.2052 eV/atom
Raw total energy   -88.83 eV for the cell shown

Lattice parameters (Å, degrees): 9.066 9.066 9.066 76.85 76.85 76.85
Atoms (fractional coordinates):
La 0.703 0.297 0.000
La 0.000 0.297 0.703
La 0.297 0.703 0.000
La 0.609 0.609 0.167
La 0.833 0.391 0.391
La 0.391 0.833 0.391
La 0.703 0.000 0.297
La 0.000 0.000 0.500
La 0.391 0.391 0.833
La 0.297 0.000 0.703
La 0.609 0.167 0.609
La 0.000 0.703 0.297
La 0.500 0.000 0.000
La 0.167 0.609 0.609
La 0.000 0.500 0.000
Tb 0.912 0.912 0.912
Tb 0.088 0.088 0.088
Pr 0.300 0.300 0.300
Pr 0.700 0.700 0.700

***

# 6
Density functional theory data (PBE-GGA) for a relaxed structure of LaTb2Pr.

Values from the calculation:
Energy above the lowest structure with this stoichiometry   0 meV/atom
DFT formation energy   0.0107 eV/atom
Raw total energy   -18.92 eV for the cell shown

Lattice parameters (Å, degrees): 3.658 3.658 11.970 81.21 81.21 60.00
Atoms (fractional coordinates):
Tb 0.750 0.750 0.749
Tb 0.250 0.250 0.251
La 0.000 0.000 0.000
Pr 0.500 0.500 0.500

***

# 7
Density functional theory data (PBE-GGA) for a relaxed structure of LaTbPr3.

Values from the calculation:
Energy above the lowest structure with this stoichiometry   0 meV/atom
DFT formation energy   0.1704 eV/atom
Raw total energy   -46.09 eV for the cell shown

Lattice parameters (Å, degrees): 6.949 6.158 9.566 108.70 111.30 90.00
Atoms (fractional coordinates):
Tb 0.550 0.300 0.100
Tb 0.450 0.700 0.900
Pr 0.885 0.902 0.305
Pr 0.420 0.902 0.305
Pr 0.226 0.476 0.453
Pr 0.115 0.098 0.695
Pr 0.774 0.524 0.547
Pr 0.580 0.098 0.695
La 0.000 0.500 0.000
La 0.000 0.000 0.000

***

# 8
Density functional theory data (PBE-GGA) for a relaxed structure of La3Tb6Pr2.

Values from the calculation:
DFT formation energy   0.1808 eV/atom
Raw total energy   -50.13 eV for the cell shown

Lattice parameters (Å, degrees): 6.247 6.270 11.808 84.85 79.62 60.12
Atoms (fractional coordinates):
Tb 0.915 0.667 0.252
Tb 0.250 0.000 0.251
Tb 0.582 0.333 0.252
Tb 0.418 0.667 0.748
Tb 0.750 0.000 0.749
Tb 0.085 0.333 0.748
La 0.000 0.000 0.000
La 0.664 0.672 0.000
La 0.336 0.328 0.000
Pr 0.834 0.331 0.500
Pr 0.166 0.669 0.500

***

# 9
Density functional theory data (PBE-GGA) for a relaxed structure of La9TbPr4.

Values from the calculation:
DFT formation energy   0.1380 eV/atom
Raw total energy   -132.33 eV for the cell shown

Lattice parameters (Å, degrees): 11.673 10.122 10.122 120.00 90.00 90.00
Atoms (fractional coordinates):
La 0.750 0.540 0.460
La 0.031 0.793 0.586
La 0.469 0.793 0.586
La 0.969 0.207 0.793
La 0.469 0.414 0.207
La 0.531 0.207 0.414
La 0.531 0.586 0.793
La 0.031 0.793 0.207
La 0.531 0.207 0.793
La 0.469 0.793 0.207
La 0.969 0.207 0.414
La 0.750 0.540 0.079
La 0.750 0.921 0.460
La 0.969 0.586 0.793
La 0.250 0.460 0.921
La 0.250 0.079 0.540
La 0.250 0.460 0.540
La 0.031 0.414 0.207
Pr 0.750 0.885 0.771
Pr 0.000 0.000 0.000
Pr 0.750 0.885 0.115
Pr 0.250 0.115 0.229
Pr 0.250 0.115 0.885
Pr 0.500 0.000 0.000
Pr 0.250 0.771 0.885
Pr 0.750 0.229 0.115
Tb 0.250 0.667 0.333
Tb 0.750 0.333 0.667

***

# 10
Density functional theory data (PBE-GGA) for a relaxed structure of La7Tb6Pr16.

Values from the calculation:
DFT formation energy   0.2332 eV/atom
Raw total energy   -131.98 eV for the cell shown

Lattice parameters (Å, degrees): 11.380 11.380 11.380 60.00 60.00 60.00
Atoms (fractional coordinates):
La 0.000 0.500 0.000
La 0.500 0.500 0.000
La 0.000 0.000 0.500
La 0.500 0.000 0.000
La 0.500 0.000 0.500
La 0.000 0.500 0.500
La 0.000 0.000 0.000
Pr 0.878 0.366 0.878
Pr 0.345 0.345 0.345
Pr 0.035 0.655 0.655
Pr 0.655 0.655 0.655
Pr 0.345 0.345 0.965
Pr 0.122 0.122 0.122
Pr 0.122 0.122 0.634
Pr 0.965 0.345 0.345
Pr 0.122 0.634 0.122
Pr 0.345 0.965 0.345
Pr 0.366 0.878 0.878
Pr 0.634 0.122 0.122
Pr 0.655 0.035 0.655
Pr 0.655 0.655 0.035
Pr 0.878 0.878 0.366
Pr 0.878 0.878 0.878
Tb 0.293 0.293 0.707
Tb 0.707 0.293 0.293
Tb 0.293 0.707 0.293
Tb 0.707 0.707 0.293
Tb 0.293 0.707 0.707
Tb 0.707 0.293 0.707

***

# 11
Density functional theory data (PBE-GGA) for a relaxed structure of La8TbPr3.

Values from the calculation:
DFT formation energy   0.0934 eV/atom
Raw total energy   -57.27 eV for the cell shown

Lattice parameters (Å, degrees): 9.262 9.224 9.262 74.23 121.57 138.61
Atoms (fractional coordinates):
La 0.904 0.565 0.996
La 0.926 0.827 0.238
La 0.411 0.173 0.098
La 0.022 0.854 0.673
La 0.292 0.616 0.928
La 0.312 0.384 0.676
La 0.432 0.435 0.339
La 0.819 0.146 0.168
Pr 0.541 0.138 0.654
Pr 0.516 0.862 0.403
Pr 0.972 0.500 0.472
Tb 0.855 0.000 0.855

***

# 12
Density functional theory data (PBE-GGA) for a relaxed structure of La2Tb2Pr3.

Values from the calculation:
Energy above the lowest structure with this stoichiometry   0 meV/atom
DFT formation energy   0.0124 eV/atom
Raw total energy   -33.37 eV for the cell shown

Lattice parameters (Å, degrees): 3.693 11.052 8.217 94.25 47.59 90.02
Atoms (fractional coordinates):
Pr 0.574 0.570 0.284
Pr 0.000 0.000 0.000
Pr 0.426 0.430 0.716
Tb 0.289 0.288 0.141
Tb 0.711 0.712 0.859
La 0.147 0.145 0.568
La 0.853 0.855 0.432

***

What did the eleventh record say?
Density functional theory data (PBE-GGA) for a relaxed structure of La8TbPr3.

Values from the calculation:
DFT formation energy   0.0934 eV/atom
Raw total energy   -57.27 eV for the cell shown

Lattice parameters (Å, degrees): 9.262 9.224 9.262 74.23 121.57 138.61
Atoms (fractional coordinates):
La 0.904 0.565 0.996
La 0.926 0.827 0.238
La 0.411 0.173 0.098
La 0.022 0.854 0.673
La 0.292 0.616 0.928
La 0.312 0.384 0.676
La 0.432 0.435 0.339
La 0.819 0.146 0.168
Pr 0.541 0.138 0.654
Pr 0.516 0.862 0.403
Pr 0.972 0.500 0.472
Tb 0.855 0.000 0.855